A relaxed structure of Er6AsC2, computed with PBE.

Lattice parameters (Å, degrees): 12.563 4.824 8.424 90.00 123.16 90.00
Space group C2/m (No. 12)
One atom of each set of equivalent atoms:
Er 0.033 0.000 0.203
Er 0.156 0.500 0.584
Er 0.193 0.500 0.070
As 0.000 0.000 0.500
C 0.181 0.000 0.092

The calculation puts the formation energy from the elements at -0.410 eV/atom.